[1]
Entry from the Alexandria database: a geometry-optimized CdIn3Hg structure (PBE).

Computed properties:
* formation energy: 0.312 eV per atom
* offset from the most stable computed form: 0.291 eV/atom

The structure in CIF format:
```
data_CdIn3Hg
_chemical_formula_sum 'Cd1 In3 Hg1'
_symmetry_space_group_name_H-M 'P m -3 m'
_symmetry_Int_Tables_number 221
_symmetry_space_group_name_Hall '-P 4 2 3'
_cell_length_a 5.570
_cell_length_b 5.570
_cell_length_c 5.570
_cell_angle_alpha 90.00
_cell_angle_beta 90.00
_cell_angle_gamma 90.00
loop_
_atom_site_label
_atom_site_type_symbol
_atom_site_fract_x
_atom_site_fract_y
_atom_site_fract_z
Cd1 Cd 0.000 0.000 0.000
In1 In 0.000 0.000 0.500
Hg1 Hg 0.500 0.500 0.500
```


[2]
Entry from the Alexandria database: a geometry-optimized Ho2Ga12Pd structure (PBE).

Computed properties:
* formation energy: -0.368 eV per atom

The structure in CIF format:
```
data_Ho2Ga12Pd
_chemical_formula_sum 'Ho4 Ga24 Pd2'
_symmetry_space_group_name_H-M 'P 4/n b m'
_symmetry_Int_Tables_number 125
_cell_length_a 6.125
_cell_length_b 6.125
_cell_length_c 15.279
_cell_angle_alpha 90.00
_cell_angle_beta 90.00
_cell_angle_gamma 90.00
loop_
_symmetry_equiv_pos_as_xyz
'x,y,z'
'-x,-y,-z'
'-y+1/2,x,z'
'y+1/2,-x,-z'
'-x+1/2,-y+1/2,z'
'x+1/2,y+1/2,-z'
'y,-x+1/2,z'
'-y,x+1/2,-z'
'x,-y+1/2,-z'
'-x,y+1/2,z'
'-y+1/2,-x+1/2,-z'
'y+1/2,x+1/2,z'
'-x+1/2,y,-z'
'x+1/2,-y,z'
'y,x,-z'
'-y,-x,z'
loop_
_atom_site_label
_atom_site_type_symbol
_atom_site_fract_x
_atom_site_fract_y
_atom_site_fract_z
Ho1 Ho 0.250 0.750 0.242
Ga1 Ga 0.000 0.000 0.091
Ga2 Ga 0.085 0.585 0.431
Ga3 Ga 0.250 0.250 0.189
Ga4 Ga 0.250 0.250 0.348
Pd1 Pd 0.250 0.750 0.000
```


[3]
Entry from the Alexandria database: a geometry-optimized Tb2TmNi structure (PBE).

Computed properties:
* formation energy: -0.249 eV per atom
* offset from the most stable computed form: 0.000 eV/atom

The structure in CIF format:
```
data_Tb2TmNi
_chemical_formula_sum 'Tb8 Tm4 Ni4'
_symmetry_space_group_name_H-M 'P n m a'
_symmetry_Int_Tables_number 62
_cell_length_a 6.822
_cell_length_b 9.591
_cell_length_c 6.287
_cell_angle_alpha 90.00
_cell_angle_beta 90.00
_cell_angle_gamma 90.00
loop_
_symmetry_equiv_pos_as_xyz
'x,y,z'
'-x,-y,-z'
'-x+1/2,-y,z+1/2'
'x+1/2,y,-z+1/2'
'x+1/2,-y+1/2,-z+1/2'
'-x+1/2,y+1/2,z+1/2'
'-x,y+1/2,-z'
'x,-y+1/2,z'
loop_
_atom_site_label
_atom_site_type_symbol
_atom_site_fract_x
_atom_site_fract_y
_atom_site_fract_z
Tb1 Tb 0.181 0.066 0.178
Tm1 Tm 0.035 0.250 0.642
Ni1 Ni 0.109 0.750 0.950
```


[4]
Entry from the Alexandria database: a geometry-optimized DyH2 structure (PBE).

Computed properties:
* calculated total energy: -13.44 eV/f.u.

The structure in CIF format:
```
data_DyH2
_chemical_formula_sum 'Dy2 H4'
_symmetry_space_group_name_H-M 'I 4/m m m'
_symmetry_Int_Tables_number 139
_symmetry_space_group_name_Hall '-I 4 2'
_cell_length_a 3.665
_cell_length_b 3.665
_cell_length_c 5.172
_cell_angle_alpha 90.00
_cell_angle_beta 90.00
_cell_angle_gamma 90.00
loop_
_atom_site_label
_atom_site_type_symbol
_atom_site_fract_x
_atom_site_fract_y
_atom_site_fract_z
Dy1 Dy 0.000 0.000 0.000
H1 H 0.000 0.500 0.250
```


[5]
Entry from the Alexandria database: a geometry-optimized TaIn2Fe structure (PBE).

Computed properties:
* formation energy: 0.341 eV per atom
* offset from the most stable computed form: 0.238 eV/atom

The structure in CIF format:
```
data_TaIn2Fe
_chemical_formula_sum 'Ta3 In6 Fe3'
_symmetry_space_group_name_H-M 'R -3 m'
_symmetry_Int_Tables_number 166
_symmetry_space_group_name_Hall '-R 3 2"'
_cell_length_a 3.0389
_cell_length_b 3.0389
_cell_length_c 28.0860
_cell_angle_alpha 90.00
_cell_angle_beta 90.00
_cell_angle_gamma 120.00
loop_
_atom_site_label
_atom_site_type_symbol
_atom_site_fract_x
_atom_site_fract_y
_atom_site_fract_z
Ta1 Ta 0.0000 0.0000 0.0000
In1 In 0.0000 0.0000 0.2449
Fe1 Fe 0.0000 0.0000 0.5000
```


[6]
Entry from the Alexandria database: a geometry-optimized Ta4ZnRe structure (PBE).

Computed properties:
* formation energy: 0.529 eV per atom

The structure in CIF format:
```
data_Ta4ZnRe
_chemical_formula_sum 'Ta16 Zn4 Re4'
_symmetry_space_group_name_H-M 'F -4 3 m'
_symmetry_Int_Tables_number 216
_symmetry_space_group_name_Hall 'F -4 2 3'
_cell_length_a 7.569
_cell_length_b 7.569
_cell_length_c 7.569
_cell_angle_alpha 90.00
_cell_angle_beta 90.00
_cell_angle_gamma 90.00
loop_
_atom_site_label
_atom_site_type_symbol
_atom_site_fract_x
_atom_site_fract_y
_atom_site_fract_z
Ta1 Ta 0.124 0.124 0.124
Zn1 Zn 0.000 0.000 0.500
Re1 Re 0.250 0.250 0.750
```


[7]
Entry from the Alexandria database: a geometry-optimized Ca2SiAu2 structure (PBE).

Computed properties:
* uncorrected formation energy: -659 meV/atom

The structure in CIF format:
```
data_Ca2SiAu2
_chemical_formula_sum 'Ca8 Si4 Au8'
_symmetry_space_group_name_H-M 'C 1 2/m 1'
_symmetry_Int_Tables_number 12
_cell_length_a 10.996
_cell_length_b 4.319
_cell_length_c 11.331
_cell_angle_alpha 90.00
_cell_angle_beta 116.81
_cell_angle_gamma 90.00
loop_
_symmetry_equiv_pos_as_xyz
'x,y,z'
'-x,-y,-z'
'-x,y,-z'
'x,-y,z'
'x+1/2,y+1/2,z'
'-x+1/2,-y+1/2,-z'
'-x+1/2,y+1/2,-z'
'x+1/2,-y+1/2,z'
loop_
_atom_site_label
_atom_site_type_symbol
_atom_site_fract_x
_atom_site_fract_y
_atom_site_fract_z
Ca1 Ca 0.097 0.000 0.399
Ca2 Ca 0.188 0.500 0.139
Si1 Si 0.077 0.500 0.819
Au1 Au 0.049 0.000 0.905
Au2 Au 0.129 0.500 0.623
```


[8]
Entry from the Alexandria database: a geometry-optimized BaTlF3 structure (PBE).

Computed properties:
* uncorrected formation energy: -2419 meV/atom

The structure in CIF format:
```
data_BaTlF3
_chemical_formula_sum 'Ba1 Tl1 F3'
_symmetry_space_group_name_H-M 'P m -3 m'
_symmetry_Int_Tables_number 221
_symmetry_space_group_name_Hall '-P 4 2 3'
_cell_length_a 4.923
_cell_length_b 4.923
_cell_length_c 4.923
_cell_angle_alpha 90.00
_cell_angle_beta 90.00
_cell_angle_gamma 90.00
loop_
_atom_site_label
_atom_site_type_symbol
_atom_site_fract_x
_atom_site_fract_y
_atom_site_fract_z
Ba1 Ba 0.000 0.000 0.000
Tl1 Tl 0.500 0.500 0.500
F1 F 0.000 0.500 0.500
```


[9]
Entry from the Alexandria database: a geometry-optimized Th3NiAu3 structure (PBE).

Computed properties:
* formation energy: -0.588 eV per atom

The structure in CIF format:
```
data_Th3NiAu3
_chemical_formula_sum 'Th6 Ni2 Au6'
_symmetry_space_group_name_H-M 'I m m 2'
_symmetry_Int_Tables_number 44
_cell_length_a 3.715
_cell_length_b 4.636
_cell_length_c 19.633
_cell_angle_alpha 90.00
_cell_angle_beta 90.00
_cell_angle_gamma 90.00
loop_
_symmetry_equiv_pos_as_xyz
'x,y,z'
'-x,-y,z'
'-x,y,z'
'x,-y,z'
'x+1/2,y+1/2,z+1/2'
'-x+1/2,-y+1/2,z+1/2'
'-x+1/2,y+1/2,z+1/2'
'x+1/2,-y+1/2,z+1/2'
loop_
_atom_site_label
_atom_site_type_symbol
_atom_site_fract_x
_atom_site_fract_y
_atom_site_fract_z
Th1 Th 0.000 0.000 0.000
Th2 Th 0.000 0.000 0.369
Th3 Th 0.000 0.500 0.196
Ni1 Ni 0.000 0.500 0.760
Au1 Au 0.000 0.000 0.541
Au2 Au 0.000 0.000 0.830
Au3 Au 0.000 0.500 0.629
```


[10]
Entry from the Alexandria database: a geometry-optimized ZrAgB structure (PBE).

Computed properties:
* formation energy: -0.463 eV per atom

The structure in CIF format:
```
data_ZrAgB
_chemical_formula_sum 'Zr6 Ag6 B6'
_symmetry_space_group_name_H-M 'R 3 m'
_symmetry_Int_Tables_number 160
_symmetry_space_group_name_Hall 'R 3 -2"'
_cell_length_a 3.1854
_cell_length_b 3.1854
_cell_length_c 31.6087
_cell_angle_alpha 90.00
_cell_angle_beta 90.00
_cell_angle_gamma 120.00
loop_
_atom_site_label
_atom_site_type_symbol
_atom_site_fract_x
_atom_site_fract_y
_atom_site_fract_z
Zr1 Zr 0.0000 0.0000 0.0000
Zr2 Zr 0.0000 0.0000 0.1083
Ag1 Ag 0.0000 0.0000 0.5901
Ag2 Ag 0.0000 0.0000 0.8512
B1 B 0.0000 0.0000 0.3875
B2 B 0.0000 0.0000 0.7208
```


[11]
Entry from the Alexandria database: a geometry-optimized Na3Sb3Pd2 structure (PBE).

Computed properties:
* offset from the most stable computed form: 0.000 eV/atom
* uncorrected formation energy: -415 meV/atom

The structure in CIF format:
```
data_Na3Sb3Pd2
_chemical_formula_sum 'Na12 Sb12 Pd8'
_symmetry_space_group_name_H-M 'C m c m'
_symmetry_Int_Tables_number 63
_symmetry_space_group_name_Hall '-C 2c 2'
_cell_length_a 4.661
_cell_length_b 11.112
_cell_length_c 15.058
_cell_angle_alpha 90.00
_cell_angle_beta 90.00
_cell_angle_gamma 90.00
loop_
_atom_site_label
_atom_site_type_symbol
_atom_site_fract_x
_atom_site_fract_y
_atom_site_fract_z
Na1 Na 0.000 0.075 0.119
Na2 Na 0.000 0.366 0.250
Sb1 Sb 0.000 0.337 0.750
Sb2 Sb 0.000 0.374 0.037
Pd1 Pd 0.000 0.213 0.598
```


[12]
Entry from the Alexandria database: a geometry-optimized CaTl2TeS4 structure (PBE).

Computed properties:
* uncorrected formation energy: -619 meV/atom

The structure in CIF format:
```
data_CaTl2TeS4
_chemical_formula_sum 'Ca4 Tl8 Te4 S16'
_symmetry_space_group_name_H-M 'I m m a'
_symmetry_Int_Tables_number 74
_symmetry_space_group_name_Hall '-I 2b 2'
_cell_length_a 8.320
_cell_length_b 8.470
_cell_length_c 11.913
_cell_angle_alpha 90.00
_cell_angle_beta 90.00
_cell_angle_gamma 90.00
loop_
_atom_site_label
_atom_site_type_symbol
_atom_site_fract_x
_atom_site_fract_y
_atom_site_fract_z
Ca1 Ca 0.000 0.000 0.000
Tl1 Tl 0.000 0.000 0.500
Tl2 Tl 0.250 0.250 0.250
Te1 Te 0.250 0.250 0.750
S1 S 0.000 0.034 0.760
S2 S 0.227 0.250 0.976
```


| no. | N(E_F) (states/eV/f.u.) |
| --- | --- |
| 1 | 2.83 |
| 2 | 4.36 |
| 3 | 3.97 |
| 4 | 0.71 |
| 5 | 3.52 |
| 6 | 7.66 |
| 7 | 2.84 |
| 8 | 0.00 |
| 9 | 6.63 |
| 10 | 1.59 |
| 11 | 3.49 |
| 12 | 1.17 |